Crystalline CeThO at its relaxed geometry, computed with PBE-GGA. Values from VASP.

Quantum ESPRESSO input file:
```
&SYSTEM
  ibrav = 0, nat = 6, ntyp = 3
/
ATOMIC_SPECIES
Th 232.04 Th.upf
Ce 140.12 Ce.upf
O 16.00 O.upf
CELL_PARAMETERS angstrom
3.4565 0.0000 0.0000
-1.7283 2.9934 0.0000
0.0000 0.0000 12.5882
ATOMIC_POSITIONS angstrom
Th 1.7283 0.9978 2.6582
Th 1.7283 0.9978 8.6478
Ce 1.7283 0.9978 11.9469
Ce 0.0000 1.9956 5.6532
O 0.0000 1.9956 0.9116
O 0.0000 1.9956 10.3941
```

## Properties
Density   9.9 g/cm³
SG   P-6m2
Magnetization   0.419 μB per cell
E above lowest polymorph   102 meV/atom
Raw total energy   -7.59 eV/atom


Crystalline Li2CoW at its relaxed geometry, computed with PBE-GGA. Values from VASP.

Quantum ESPRESSO input file:
```
&SYSTEM
  ibrav = 0, nat = 4, ntyp = 3
/
ATOMIC_SPECIES
Co 58.93 Co.upf
Li 6.94 Li.upf
W 183.84 W.upf
CELL_PARAMETERS angstrom
-1.2150 -0.3643 -2.6069
1.8470 -2.1637 -0.5584
-4.5432 -4.5902 2.7588
ATOMIC_POSITIONS angstrom
Co -3.0114 -4.6257 0.4378
Li -4.3979 -4.4433 2.6706
Li -0.8365 -2.4284 -0.8828
W -2.4803 -2.5059 1.5062
```

## Properties
DFT formation energy   0.29 eV per atom
Density   7.2 g/cm³
SG   P4mm
Magnetization   0.000 μB per cell
E above lowest polymorph   14 meV/atom
Raw total energy   -5.68 eV/atom


Crystalline FeCoRh2 at its relaxed geometry, computed with PBE-GGA. Values from VASP.

Quantum ESPRESSO input file:
```
&SYSTEM
  ibrav = 0, nat = 4, ntyp = 3
/
ATOMIC_SPECIES
Co 58.93 Co.upf
Fe 55.84 Fe.upf
Rh 102.91 Rh.upf
CELL_PARAMETERS angstrom
-4.6401 0.3796 1.8221
-1.8793 -3.9376 2.4409
3.6340 3.4286 -0.1823
ATOMIC_POSITIONS angstrom
Co -3.3700 -1.8392 2.2036
Fe -2.0538 1.0577 1.8339
Rh -6.4256 -3.5068 4.2017
Rh -0.8151 -1.1781 2.2359
```

## Properties
DFT formation energy   0.06 eV per atom
Density   10.0 g/cm³
SG   Imm2
Magnetization   6.894 μB per cell
Raw total energy   -7.51 eV/atom


Crystalline YTePb2 at its relaxed geometry, computed with PBE-GGA. Values from VASP.

Quantum ESPRESSO input file:
```
&SYSTEM
  ibrav = 0, nat = 4, ntyp = 3
/
ATOMIC_SPECIES
Pb 207.20 Pb.upf
Te 127.60 Te.upf
Y 88.91 Y.upf
CELL_PARAMETERS angstrom
-4.5816 -1.4300 4.1329
-1.5102 -6.1189 0.6288
5.3030 3.4634 0.0136
ATOMIC_POSITIONS angstrom
Pb 0.0000 0.0000 0.0000
Pb 0.3734 -3.2149 1.5116
Te -3.0459 -3.7744 2.3808
Y -1.1623 -0.8705 3.2637
```

## Properties
Density   8.9 g/cm³
SG   I-4m2
Magnetization   0.000 μB per cell
Raw total energy   -4.62 eV/atom


Crystalline CuReW2 at its relaxed geometry, computed with PBE-GGA. Values from VASP.

Quantum ESPRESSO input file:
```
&SYSTEM
  ibrav = 0, nat = 4, ntyp = 3
/
ATOMIC_SPECIES
Cu 63.55 Cu.upf
Re 186.21 Re.upf
W 183.84 W.upf
CELL_PARAMETERS angstrom
5.0373 -0.1579 0.5721
4.0722 2.9693 0.5721
1.3772 0.4250 4.0303
ATOMIC_POSITIONS angstrom
Cu 7.8650 2.4273 3.8808
Re 2.6217 0.8091 1.2936
W 9.0478 2.7923 1.1679
W 5.3051 1.6373 2.5634
```

## Properties
DFT formation energy   0.29 eV per atom
Density   17.0 g/cm³
SG   Immm
Magnetization   0.000 μB per cell
E above lowest polymorph   67 meV/atom
Raw total energy   -10.32 eV/atom


Crystalline PmNdSmDy at its relaxed geometry, computed with PBE-GGA. Values from VASP.

Quantum ESPRESSO input file:
```
&SYSTEM
  ibrav = 0, nat = 4, ntyp = 4
/
ATOMIC_SPECIES
Pm 145.00 Pm.upf
Nd 144.24 Nd.upf
Sm 150.36 Sm.upf
Dy 162.50 Dy.upf
CELL_PARAMETERS angstrom
-0.6881 4.2933 3.7887
-5.1331 2.5723 0.5422
-3.1531 -0.8298 4.7571
ATOMIC_POSITIONS angstrom
Pm -4.4871 3.0179 4.5440
Nd -2.2436 1.5089 2.2720
Sm -6.7307 4.5268 6.8160
Dy 0.0000 0.0000 0.0000
```

## Properties
DFT formation energy   0.14 eV per atom
Density   7.4 g/cm³
SG   F-43m
Magnetization   0.006 μB per cell
E above lowest polymorph   123 meV/atom
Raw total energy   -4.57 eV/atom


Crystalline ReBSeN2 at its relaxed geometry, computed with PBE-GGA. Values from VASP.

Quantum ESPRESSO input file:
```
&SYSTEM
  ibrav = 0, nat = 5, ntyp = 4
/
ATOMIC_SPECIES
Re 186.21 Re.upf
B 10.81 B.upf
Se 78.96 Se.upf
N 14.01 N.upf
CELL_PARAMETERS angstrom
-0.8054 -0.1504 -3.4740
-0.7068 -3.4845 0.3147
-4.0387 0.9002 0.8973
ATOMIC_POSITIONS angstrom
Re -2.7754 -1.3673 -1.1310
B 0.0000 0.0000 0.0000
Se -2.0193 0.4501 0.4487
N -0.3534 -1.7422 0.1574
N -0.4027 -0.0752 -1.7370
```

## Properties
Density   9.4 g/cm³
SG   P4/mmm
Magnetization   1.036 μB per cell
E above lowest polymorph   710 meV/atom
Raw total energy   -6.00 eV/atom


Crystalline ZnCu2H at its relaxed geometry, computed with PBE-GGA. Values from VASP.

Quantum ESPRESSO input file:
```
&SYSTEM
  ibrav = 0, nat = 8, ntyp = 3
/
ATOMIC_SPECIES
H 1.01 H.upf
Zn 65.41 Zn.upf
Cu 63.55 Cu.upf
CELL_PARAMETERS angstrom
5.2630 0.0000 0.0000
0.0000 5.2630 0.0000
2.6315 2.6315 3.2674
ATOMIC_POSITIONS angstrom
H 2.6315 2.6315 0.0000
H 2.6315 5.2630 1.6337
Zn 0.0000 0.0000 0.0000
Zn 5.2630 2.6315 1.6337
Cu 3.2183 1.3158 0.8169
Cu 2.0447 3.9473 0.8169
Cu 3.9473 4.6762 2.4506
Cu 6.5788 5.8498 2.4506
```

## Properties
Density   7.1 g/cm³
SG   I-42d
Magnetization   0.000 μB per cell
E above lowest polymorph   126 meV/atom
Raw total energy   -3.03 eV/atom


Crystalline HfBi4 at its relaxed geometry, computed with PBE-GGA. Values from VASP.

Quantum ESPRESSO input file:
```
&SYSTEM
  ibrav = 0, nat = 5, ntyp = 2
/
ATOMIC_SPECIES
Hf 178.49 Hf.upf
Bi 208.98 Bi.upf
CELL_PARAMETERS angstrom
5.6457 0.0000 0.0000
0.0000 5.6457 0.0000
0.0000 0.0000 5.6457
ATOMIC_POSITIONS angstrom
Hf 2.8229 2.8229 2.8229
Bi 0.0000 0.0000 0.0000
Bi 2.8229 0.0000 2.8229
Bi 0.0000 2.8229 2.8229
Bi 2.8229 2.8229 0.0000
```

## Properties
DFT formation energy   0.41 eV per atom
Density   9.4 g/cm³
SG   Pm-3m
Magnetization   0.000 μB per cell
Raw total energy   -4.68 eV/atom


Crystalline LaPr3P4 at its relaxed geometry, computed with PBE-GGA. Values from VASP.

Quantum ESPRESSO input file:
```
&SYSTEM
  ibrav = 0, nat = 8, ntyp = 3
/
ATOMIC_SPECIES
La 138.91 La.upf
Pr 140.91 Pr.upf
P 30.97 P.upf
CELL_PARAMETERS angstrom
4.2242 0.0000 0.0000
0.0000 7.3107 -0.0673
0.0000 -2.3688 6.9167
ATOMIC_POSITIONS angstrom
La 2.1121 0.0000 0.0000
Pr 0.0000 -1.1844 3.4583
Pr 2.1121 2.4710 3.4247
Pr 0.0000 3.6554 -0.0337
P 0.0000 1.2427 1.7224
P 2.1121 4.8848 1.6830
P 0.0000 3.6992 5.1270
P 2.1121 0.0571 5.1663
```

## Properties
DFT formation energy   -1.53 eV per atom
Density   5.3 g/cm³
SG   Cmmm
Magnetization   0.000 μB per cell
Raw total energy   -6.64 eV/atom


Crystalline Tb2Ag2Hg at its relaxed geometry, computed with PBE-GGA. Values from VASP.

Quantum ESPRESSO input file:
```
&SYSTEM
  ibrav = 0, nat = 10, ntyp = 3
/
ATOMIC_SPECIES
Tb 158.93 Tb.upf
Ag 107.87 Ag.upf
Hg 200.59 Hg.upf
CELL_PARAMETERS angstrom
5.2507 -0.0001 -0.0004
0.0000 4.8651 -1.9357
-2.6261 -1.5338 10.3066
ATOMIC_POSITIONS angstrom
Tb 3.9387 0.0058 3.5542
Tb 1.3110 2.4385 2.5865
Tb -1.3141 3.3253 4.8163
Tb 1.3136 0.8927 5.7839
Ag 1.3084 -0.9124 8.3289
Ag 3.9341 1.8110 1.0092
Ag 1.3162 4.2436 0.0416
Ag -1.3095 1.5202 7.3612
Hg 3.9418 3.6487 -1.4521
Hg 1.3089 1.2162 -0.4840
```

## Properties
DFT formation energy   -0.12 eV per atom
Density   9.8 g/cm³
SG   Cmcm
Magnetization   0.783 μB per cell
Raw total energy   -3.17 eV/atom


Crystalline Ba2LaAlSn at its relaxed geometry, computed with PBE-GGA. Values from VASP.

Quantum ESPRESSO input file:
```
&SYSTEM
  ibrav = 0, nat = 5, ntyp = 4
/
ATOMIC_SPECIES
Al 26.98 Al.upf
Ba 137.33 Ba.upf
Sn 118.71 Sn.upf
La 138.91 La.upf
CELL_PARAMETERS angstrom
-1.9679 -6.0804 1.2181
2.1378 0.3821 5.3613
-5.7161 2.2741 2.1172
ATOMIC_POSITIONS angstrom
Al 0.0000 0.0000 0.0000
Ba -2.8580 1.1371 1.0586
Ba -0.9839 -3.0402 0.6090
Sn -2.7731 -1.7121 4.3483
La 1.0689 0.1911 2.6806
```

## Properties
DFT formation energy   0.14 eV per atom
Density   3.8 g/cm³
SG   P4/mmm
Magnetization   0.537 μB per cell
Raw total energy   -3.16 eV/atom